A geometry-optimized La3WO7 structure, computed with PBE with a Hubbard U.

Cell and atoms, written as CIF:
```
data_La3WO7
_chemical_formula_sum 'La6 W2 O14'
_cell_length_a 6.749
_cell_length_b 6.749
_cell_length_c 7.827
_cell_angle_alpha 90.00
_cell_angle_beta 90.00
_cell_angle_gamma 69.19
_symmetry_space_group_name_H-M 'P 1'
_symmetry_Int_Tables_number 1
loop_
_symmetry_equiv_pos_as_xyz
'x,y,z'
loop_
_atom_site_label
_atom_site_fract_x
_atom_site_fract_y
_atom_site_fract_z
La1 0.000 0.000 0.000
La2 0.000 0.000 0.500
La3 0.072 0.476 0.750
La4 0.476 0.072 0.250
La5 0.524 0.928 0.750
La6 0.928 0.524 0.250
W1 0.500 0.500 0.000
W2 0.500 0.500 0.500
O1 0.107 0.156 0.250
O2 0.156 0.107 0.750
O3 0.186 0.567 0.031
O4 0.186 0.567 0.469
O5 0.433 0.814 0.031
O6 0.433 0.814 0.469
O7 0.445 0.555 0.750
O8 0.555 0.445 0.250
O9 0.567 0.186 0.531
O10 0.567 0.186 0.969
O11 0.814 0.433 0.531
O12 0.814 0.433 0.969
O13 0.844 0.893 0.250
O14 0.893 0.844 0.750
```


# LaW3O | the Alexandria database | PBE with a Hubbard U | optimized geometry
data_LaW3O
_chemical_formula_sum 'La1 W3 O1'
_cell_length_a 4.490
_cell_length_b 4.490
_cell_length_c 4.490
_cell_angle_alpha 90.00
_cell_angle_beta 90.00
_cell_angle_gamma 90.00
_symmetry_space_group_name_H-M 'P 1'
_symmetry_Int_Tables_number 1
loop_
_symmetry_equiv_pos_as_xyz
'x,y,z'
loop_
_atom_site_label
_atom_site_fract_x
_atom_site_fract_y
_atom_site_fract_z
La1 0.000 0.000 0.000
W1 0.000 0.500 0.500
W2 0.500 0.000 0.500
W3 0.500 0.500 0.000
O1 0.500 0.500 0.500
# ΔE to the lowest computed polymorph: 0 kJ/mol of formula units


A geometry-optimized LaWO3 structure, computed with PBE with a Hubbard U.

Cell and atoms, written as CIF:
```
data_LaWO3
_chemical_formula_sum 'La1 W1 O3'
_cell_length_a 4.473
_cell_length_b 4.473
_cell_length_c 4.473
_cell_angle_alpha 90.00
_cell_angle_beta 90.00
_cell_angle_gamma 90.00
_symmetry_space_group_name_H-M 'P 1'
_symmetry_Int_Tables_number 1
loop_
_symmetry_equiv_pos_as_xyz
'x,y,z'
loop_
_atom_site_label
_atom_site_fract_x
_atom_site_fract_y
_atom_site_fract_z
La1 0.000 0.000 0.000
W1 0.500 0.500 0.500
O1 0.000 0.000 0.500
O2 0.000 0.500 0.000
O3 0.500 0.000 0.000
```


# La3WO | the Alexandria database | PBE with a Hubbard U | optimized geometry
data_La3WO
_chemical_formula_sum 'La3 W1 O1'
_cell_length_a 4.995
_cell_length_b 4.995
_cell_length_c 4.995
_cell_angle_alpha 90.00
_cell_angle_beta 90.00
_cell_angle_gamma 90.00
_symmetry_space_group_name_H-M 'P 1'
_symmetry_Int_Tables_number 1
loop_
_symmetry_equiv_pos_as_xyz
'x,y,z'
loop_
_atom_site_label
_atom_site_fract_x
_atom_site_fract_y
_atom_site_fract_z
La1 0.000 0.000 0.500
La2 0.000 0.500 0.000
La3 0.500 0.000 0.000
W1 0.500 0.500 0.500
O1 0.000 0.000 0.000
# ΔE to the lowest computed polymorph: 0 kJ/mol of formula units


Number 1: uncorrected energy -8.205 eV per atom. Number 2: uncorrected energy -5.556 eV per atom. Number 3: uncorrected energy -6.071 eV per atom. Number 4: uncorrected energy -5.925 eV per atom.